(1)
# Pa2Al2Ga4Fe

A relaxed Pa2Al2Ga4Fe crystal (PBE-GGA, Alexandria).

Unit cell a=6.1480 b=6.1480 c=8.6209 alpha=90.00 beta=90.00 gamma=90.00
With the nearest neighbours (Å) after each atom.
Space group I4/mmm (No. 139)
Unique sites:
Pa 0.0000 0.5000 0.2500 x4  8 Ga 3.07, 4 Al 3.08
Al 0.0000 0.0000 0.2237 x4  1 Fe 2.38
Ga 0.2230 0.2230 0.0000 x8  1 Fe 2.41
Fe 0.0000 0.0000 0.5000 x2  2 Al 2.38, 4 Ga 2.41

Properties
total magnetization	0.013	Bohr magnetons per cell
calculated volume	18.1	Å³/atom
uncorrected energy	-5.542	eV per atom
energy of formation from the pure elements	-2.8	eV per formula unit

***

(2)
# PaAlGaFe

A relaxed PaAlGaFe crystal (PBE-GGA, Alexandria).

Unit cell a=6.5210 b=6.5210 c=6.5210 alpha=90.00 beta=90.00 gamma=90.00
With the nearest neighbours (Å) after each atom.
Space group F-43m (No. 216)
Unique sites:
Pa 0.0000 0.0000 0.0000 x4  4 Fe 2.82, 4 Ga 2.82
Al 0.0000 0.0000 0.5000 x4  4 Ga 2.82, 4 Fe 2.82
Ga 0.2500 0.2500 0.7500 x4  4 Pa 2.82, 4 Al 2.82
Fe 0.2500 0.2500 0.2500 x4  4 Pa 2.82, 4 Al 2.82

Properties
total magnetization	1.708	Bohr magnetons per cell
calculated volume	17.3	Å³/atom
uncorrected energy	-6.295	eV per atom
energy of formation from the pure elements	-0.5	eV per formula unit

***

(3)
# AlGaFePd

A relaxed AlGaFePd crystal (PBE-GGA, Alexandria).

Unit cell a=5.9650 b=5.9650 c=5.9650 alpha=90.00 beta=90.00 gamma=90.00
With the nearest neighbours (Å) after each atom.
Space group F-43m (No. 216)
Unique sites:
Al 0.0000 0.0000 0.0000 x4  4 Fe 2.58, 4 Pd 2.58
Ga 0.0000 0.0000 0.5000 x4  4 Fe 2.58, 4 Pd 2.58
Fe 0.2500 0.2500 0.2500 x4  4 Al 2.58, 4 Ga 2.58
Pd 0.2500 0.2500 0.7500 x4  4 Al 2.58, 4 Ga 2.58

Properties
total magnetization	1.226	Bohr magnetons per cell
calculated volume	13.3	Å³/atom
uncorrected energy	-5.503	eV per atom
energy of formation from the pure elements	-1.6	eV per formula unit

***

(4)
# Pu2AlGa6Fe

A relaxed Pu2AlGa6Fe crystal (PBE-GGA, Alexandria).

Unit cell a=6.1404 b=6.1404 c=39.9182 alpha=90.00 beta=90.00 gamma=120.00
With the nearest neighbours (Å) after each atom.
Space group R-3m (No. 166, hexagonal axes)
Unique sites:
Pu 0.0000 0.0000 0.0924 x6  9 Ga 3.04-3.19
Pu 0.0000 0.0000 0.3720 x6  12 Ga 3.08-3.38
Al 0.0000 0.0000 0.0000 x3  6 Ga 2.49
Al 0.0000 0.0000 0.5000 x3  6 Ga 2.64
Ga 0.0378 0.5189 0.1136 x18  1 Fe 2.32
Ga 0.0499 0.5250 0.3691 x18  1 Fe 2.41, 1 Al 2.49, 2 Ga 2.61
Fe 0.0000 0.0000 0.2503 x6  6 Ga 2.32-2.41

Properties
total magnetization	63.588	Bohr magnetons per cell
calculated volume	21.7	Å³/atom
uncorrected energy	-5.938	eV per atom
energy of formation from the pure elements	-0.4	eV per formula unit

***

(5)
# U2Al6GaFe3

A relaxed U2Al6GaFe3 crystal (PBE-GGA, Alexandria).

Unit cell a=10.7602 b=6.6157 c=5.8221 alpha=90.00 beta=91.32 gamma=90.00
With the nearest neighbours (Å) after each atom.
Space group C2/m (No. 12)
Unique sites:
U 0.1395 0.0000 0.3121 x4  3 Fe 2.30-2.33
Al 0.1073 0.2787 0.8270 x8  2 Fe 2.41-2.48, 1 Ga 2.65
Al 0.1986 0.5000 0.1977 x4  2 Fe 2.47
Ga 0.0000 0.5000 0.5000 x2  6 Al 2.65-2.80
Fe 0.0000 0.0000 0.0000 x2  2 U 2.33, 4 Al 2.41
Fe 0.2500 0.2500 0.5000 x4  2 U 2.30, 4 Al 2.47-2.48

Properties
total magnetization	3.138	Bohr magnetons per cell
calculated volume	17.3	Å³/atom
uncorrected energy	-6.229	eV per atom
energy of formation from the pure elements	-1.3	eV per formula unit

***

(6)
# GdAl6Fe6

A relaxed GdAl6Fe6 crystal (PBE-GGA, Alexandria).

Unit cell a=4.9892 b=8.5227 c=8.6464 alpha=90.00 beta=90.00 gamma=90.00
With the nearest neighbours (Å) after each atom.
Space group Immm (No. 71)
Unique sites:
Gd 0.0000 0.0000 0.0000 x2  8 Al 2.88-3.00
Al 0.0000 0.0000 0.3467 x4  6 Fe 2.58-2.61, 3 Al 2.65-2.83
Al 0.0000 0.3374 0.0000 x4  6 Fe 2.60-2.63, 1 Al 2.77, 1 Gd 2.88
Al 0.0000 0.5000 0.3066 x4  6 Fe 2.52-2.65
Fe 0.0000 0.2594 0.5000 x4  4 Fe 2.50, 6 Al 2.58-2.65
Fe 0.2500 0.2500 0.2500 x8  4 Fe 2.49-2.50, 6 Al 2.52-2.61

Properties
total magnetization	34.305	Bohr magnetons per cell
calculated volume	14.1	Å³/atom
uncorrected energy	-7.084	eV per atom
energy of formation from the pure elements	-4.8	eV per formula unit